Entry w
## Cu2C (PBE-GGA)

Data for a relaxed structure of Cu2C.

Lattice parameters (Å, degrees): 4.669 4.669 4.669 60.00 60.00 60.00
Atoms (fractional coordinates):
1 C 0.000 0.000 0.000
2 Cu 0.125 0.625 0.625
3 C 0.250 0.250 0.250
4 Cu 0.625 0.625 0.625
5 Cu 0.625 0.625 0.125
6 Cu 0.625 0.125 0.625

Summary:
* calculated density: 6.42 g/cm3

Entry x
## Cu2C (PBE-GGA)

Data for a relaxed structure of Cu2C.

Lattice parameters (Å, degrees): 5.982 5.982 5.982 60.00 60.00 60.00
Atoms (fractional coordinates):
1 C 0.500 0.500 0.500
2 Cu 0.375 0.375 0.875
3 C 0.250 0.250 0.250
4 Cu 0.375 0.875 0.375
5 Cu 0.875 0.375 0.375
6 Cu 0.375 0.375 0.375

Summary:
* calculated density: 3.05 g/cm3

Most stable to least stable, the ends of the list are entry x and entry w.

Entry w
## CuHgC4S4N4 (PBE-GGA)

Data for a relaxed structure of CuHgC4S4N4.

Lattice parameters (Å, degrees): 5.868 5.868 15.124 90.18 90.18 82.19
Atoms (fractional coordinates):
1 C 0.157 0.565 0.339
2 C 0.843 0.435 0.661
3 S 0.413 0.017 0.246
4 Cu 0.500 0.500 0.500
5 Hg 0.054 0.946 0.750
6 S 0.160 0.845 0.590
7 N 0.274 0.542 0.402
8 N 0.542 0.274 0.902
9 N 0.726 0.458 0.598
10 C 0.726 0.922 0.435
11 N 0.458 0.726 0.098
12 S 0.840 0.155 0.410
13 N 0.646 0.758 0.456
14 S 0.983 0.587 0.254
15 C 0.435 0.843 0.161
16 S 0.845 0.160 0.090
17 N 0.242 0.354 0.044
18 Cu 0.500 0.500 0.000
19 C 0.565 0.157 0.839
20 N 0.354 0.242 0.544
21 N 0.758 0.646 0.956
22 S 0.155 0.840 0.910
23 S 0.017 0.413 0.746
24 Hg 0.946 0.054 0.250
25 C 0.922 0.726 0.935
26 C 0.078 0.274 0.065
27 S 0.587 0.983 0.754
28 C 0.274 0.078 0.565

Summary:
* calculated density: 3.20 g/cm3

Entry x
## CuHgC4S4N4 (PBE-GGA)

Data for a relaxed structure of CuHgC4S4N4.

Lattice parameters (Å, degrees): 9.021 7.677 15.253 90.00 90.00 90.00
Atoms (fractional coordinates):
1 N 0.697 0.446 0.548
2 N 0.092 0.884 0.598
3 Cu 0.000 0.000 0.500
4 S 0.488 0.156 0.408
5 C 0.818 0.597 0.067
6 S 0.784 0.307 0.264
7 N 0.303 0.554 0.452
8 S 0.284 0.193 0.736
9 Cu 0.500 0.500 0.000
10 C 0.318 0.903 0.933
11 C 0.140 0.799 0.655
12 C 0.318 0.097 0.433
13 Cu 0.500 0.500 0.500
14 N 0.408 0.616 0.098
15 C 0.140 0.201 0.155
16 S 0.988 0.344 0.592
17 Hg 0.500 0.949 0.750
18 N 0.803 0.054 0.048
19 N 0.303 0.446 0.952
20 C 0.640 0.299 0.845
21 S 0.512 0.156 0.092
22 Hg 0.000 0.551 0.250
23 C 0.360 0.299 0.655
24 N 0.803 0.946 0.548
25 S 0.716 0.807 0.264
26 N 0.092 0.116 0.098
27 C 0.682 0.097 0.067
28 N 0.197 0.054 0.452
29 C 0.860 0.799 0.845
30 Cu 0.000 0.000 0.000
31 S 0.012 0.344 0.908
32 N 0.592 0.384 0.902
33 N 0.908 0.884 0.902
34 S 0.716 0.193 0.764
35 C 0.860 0.201 0.345
36 Hg 0.500 0.051 0.250
37 C 0.182 0.597 0.433
38 S 0.012 0.656 0.408
39 Hg 0.000 0.449 0.750
40 S 0.488 0.844 0.908
41 C 0.360 0.701 0.155
42 S 0.216 0.307 0.236
43 N 0.408 0.384 0.598
44 N 0.908 0.116 0.402
45 C 0.818 0.403 0.567
46 S 0.988 0.656 0.092
47 N 0.197 0.946 0.952
48 C 0.640 0.701 0.345
49 S 0.216 0.693 0.736
50 C 0.182 0.403 0.933
51 C 0.682 0.903 0.567
52 N 0.697 0.554 0.048
53 S 0.512 0.844 0.592
54 N 0.592 0.616 0.402
55 S 0.284 0.807 0.236
56 S 0.784 0.693 0.764

Summary:
* calculated density: 3.12 g/cm3

Most stable to least stable, the ends of the list are entry x and entry w.

Entry w
## DyHoC (PBE-GGA)

Data for a relaxed structure of DyHoC.

Lattice parameters (Å, degrees): 4.434 4.434 6.958 90.00 90.00 90.00
Last column: magnetic moment on the atom in μB.
Atoms (fractional coordinates):
1 Ho 0.500 0.500 0.000  0.02
2 Dy 0.000 0.000 0.750  0.06
3 C 0.500 0.000 0.500  -0.01
4 C 0.000 0.500 0.000  0.00
5 Ho 0.500 0.500 0.500  0.05
6 Dy 0.000 0.000 0.250  0.06

Summary:
* calculated density: 8.24 g/cm3

Entry x
## DyHoC (PBE-GGA)

Data for a relaxed structure of DyHoC.

Lattice parameters (Å, degrees): 6.459 6.459 6.198 99.34 99.34 32.19
Last column: magnetic moment on the atom in μB.
Atoms (fractional coordinates):
1 Dy 0.890 0.890 0.129  0.11
2 C 0.000 0.000 0.500  -0.01
3 C 0.500 0.500 0.000  -0.01
4 Dy 0.110 0.110 0.871  0.11
5 Ho 0.391 0.391 0.630  0.12
6 Ho 0.609 0.609 0.370  0.12

Summary:
* calculated density: 8.30 g/cm3

Most stable to least stable, the ends of the list are entry x and entry w.

Entry w
## Nd2Dy2CI5 (PBE-GGA)

Data for a relaxed structure of Nd2Dy2CI5.

Lattice parameters (Å, degrees): 9.765 9.765 8.709 102.60 102.60 23.70
Atoms (fractional coordinates):
1 Nd 0.365 0.365 0.932
2 Nd 0.635 0.635 0.068
3 I 0.839 0.839 0.648
4 I 0.161 0.161 0.352
5 I 0.166 0.166 0.808
6 Dy 0.001 0.001 0.812
7 I 0.500 0.500 0.500
8 C 0.500 0.500 0.000
9 I 0.834 0.834 0.192
10 Dy 0.999 0.999 0.188

Summary:
* calculated density: 6.43 g/cm3

Entry x
## Nd2Dy2CI5 (PBE-GGA)

Data for a relaxed structure of Nd2Dy2CI5.

Lattice parameters (Å, degrees): 9.961 9.961 8.838 102.18 102.18 23.43
Last column: magnetic moment on the atom in μB.
Atoms (fractional coordinates):
1 I 0.835 0.835 0.671  0.00
2 C 0.500 0.500 0.000  0.00
3 Nd 0.001 0.001 0.805  0.02
4 I 0.500 0.500 0.500  0.00
5 Dy 0.627 0.627 0.063  0.07
6 I 0.831 0.831 0.165  0.00
7 I 0.165 0.165 0.329  0.00
8 Nd 0.999 0.999 0.195  0.02
9 Dy 0.373 0.373 0.937  0.07
10 I 0.169 0.169 0.835  0.00

Summary:
* calculated density: 6.14 g/cm3

Most stable to least stable, the ends of the list are entry x and entry w.

Entry w
## Pr2Dy2CI5 (PBE-GGA)

Data for a relaxed structure of Pr2Dy2CI5.

Lattice parameters (Å, degrees): 9.753 9.753 8.766 102.82 102.82 23.75
Atoms (fractional coordinates):
1 Dy 0.999 0.999 0.187
2 Pr 0.363 0.363 0.931
3 I 0.166 0.166 0.807
4 I 0.839 0.839 0.646
5 I 0.161 0.161 0.354
6 Dy 0.001 0.001 0.813
7 I 0.834 0.834 0.193
8 I 0.500 0.500 0.500
9 Pr 0.637 0.637 0.069
10 C 0.500 0.500 0.000

Summary:
* calculated density: 6.36 g/cm3

Entry x
## Pr2Dy2CI5 (PBE-GGA)

Data for a relaxed structure of Pr2Dy2CI5.

Lattice parameters (Å, degrees): 9.893 9.893 8.887 102.22 102.22 23.73
Last column: magnetic moment on the atom in μB.
Atoms (fractional coordinates):
1 I 0.172 0.172 0.839  0.00
2 Pr 0.999 0.999 0.196  0.02
3 Dy 0.372 0.372 0.936  0.07
4 I 0.500 0.500 0.500  0.00
5 I 0.833 0.833 0.672  0.00
6 Dy 0.628 0.628 0.064  0.07
7 Pr 0.001 0.001 0.804  0.02
8 C 0.500 0.500 0.000  0.00
9 I 0.167 0.167 0.328  0.00
10 I 0.828 0.828 0.161  0.00

Summary:
* calculated density: 6.09 g/cm3

Most stable to least stable, the ends of the list are entry x and entry w.

Entry w
## Dy2Tm2CI5 (PBE-GGA)

Data for a relaxed structure of Dy2Tm2CI5.

Lattice parameters (Å, degrees): 9.705 9.705 8.545 102.36 102.36 23.36
Atoms (fractional coordinates):
1 Tm 0.000 0.000 0.186
2 I 0.500 0.500 0.500
3 I 0.835 0.835 0.182
4 Tm 0.000 0.000 0.814
5 C 0.500 0.500 0.000
6 I 0.165 0.165 0.818
7 I 0.162 0.162 0.342
8 Dy 0.629 0.629 0.064
9 I 0.838 0.838 0.658
10 Dy 0.371 0.371 0.936

Summary:
* calculated density: 6.98 g/cm3

Entry x
## Dy2Tm2CI5 (PBE-GGA)

Data for a relaxed structure of Dy2Tm2CI5.

Lattice parameters (Å, degrees): 9.827 9.827 8.557 102.14 102.14 23.14
Atoms (fractional coordinates):
1 C 0.500 0.500 0.000
2 I 0.163 0.163 0.333
3 I 0.500 0.500 0.500
4 I 0.166 0.166 0.828
5 Dy 0.000 0.000 0.810
6 I 0.837 0.837 0.667
7 I 0.834 0.834 0.172
8 Dy 0.000 0.000 0.190
9 Tm 0.625 0.625 0.062
10 Tm 0.375 0.375 0.938

Summary:
* calculated density: 6.86 g/cm3

Most stable to least stable, the ends of the list are entry x and entry w.

Entry w
## DyScCS (PBE-GGA)

Data for a relaxed structure of DyScCS.

Lattice parameters (Å, degrees): 3.581 3.581 12.443 90.00 90.00 120.00
Atoms (fractional coordinates):
1 Sc 0.667 0.333 0.105
2 Dy 0.667 0.333 0.398
3 S 0.667 0.333 0.742
4 Sc 0.333 0.667 0.605
5 C 0.000 0.000 0.506
6 Dy 0.333 0.667 0.898
7 C 0.000 0.000 0.006
8 S 0.333 0.667 0.242

Summary:
* calculated density: 6.04 g/cm3

Entry x
## DyScCS (PBE-GGA)

Data for a relaxed structure of DyScCS.

Lattice parameters (Å, degrees): 3.582 3.582 12.437 90.00 90.00 120.00
Atoms (fractional coordinates):
1 Sc 0.667 0.333 0.403
2 C 0.000 0.000 0.000
3 C 0.000 0.000 0.500
4 S 0.667 0.333 0.736
5 Dy 0.333 0.667 0.890
6 S 0.333 0.667 0.264
7 Sc 0.333 0.667 0.597
8 Dy 0.667 0.333 0.110

Summary:
* calculated density: 6.05 g/cm3

Most stable to least stable, the ends of the list are entry w and entry x.

Entry w
## DyZrTeC (PBE-GGA)

Data for a relaxed structure of DyZrTeC.

Lattice parameters (Å, degrees): 3.650 3.650 13.874 90.00 90.00 120.00
Atoms (fractional coordinates):
1 Te 0.333 0.667 0.500
2 C 0.000 0.000 0.766
3 Dy 0.667 0.333 0.664
4 Dy 0.667 0.333 0.336
5 C 0.000 0.000 0.234
6 Te 0.667 0.333 0.000
7 Zr 0.333 0.667 0.846
8 Zr 0.333 0.667 0.154

Summary:
* calculated density: 8.16 g/cm3

Entry x
## DyZrTeC (PBE-GGA)

Data for a relaxed structure of DyZrTeC.

Lattice parameters (Å, degrees): 3.657 3.657 13.829 90.00 90.00 120.00
Atoms (fractional coordinates):
1 Dy 0.667 0.333 0.908
2 Te 0.667 0.333 0.242
3 C 0.000 0.000 0.509
4 Zr 0.667 0.333 0.591
5 Dy 0.333 0.667 0.408
6 Te 0.333 0.667 0.742
7 C 0.000 0.000 0.009
8 Zr 0.333 0.667 0.091

Summary:
* calculated density: 8.16 g/cm3

Most stable to least stable, the ends of the list are entry x and entry w.

Entry w
## DyYC (PBE-GGA)

Data for a relaxed structure of DyYC.

Lattice parameters (Å, degrees): 6.460 6.460 6.460 32.35 32.35 32.35
Last column: magnetic moment on the atom in μB.
Atoms (fractional coordinates):
1 C 0.000 0.000 0.000  -0.01
2 Y 0.260 0.260 0.260  0.08
3 Dy 0.740 0.740 0.740  0.11

Summary:
* calculated density: 6.38 g/cm3

Entry x
## DyYC (PBE-GGA)

Data for a relaxed structure of DyYC.

Lattice parameters (Å, degrees): 4.451 4.451 6.998 90.00 90.00 90.00
Last column: magnetic moment on the atom in μB.
Atoms (fractional coordinates):
1 C 0.500 0.000 0.500  0.00
2 Dy 0.500 0.500 0.500  0.07
3 C 0.000 0.500 0.000  0.00
4 Y 0.000 0.000 0.250  0.05
5 Dy 0.500 0.500 0.000  0.03
6 Y 0.000 0.000 0.750  0.05

Summary:
* calculated density: 6.31 g/cm3

Most stable to least stable, the ends of the list are entry w and entry x.

Entry w
## ErHfPbC (PBE-GGA)

Data for a relaxed structure of ErHfPbC.

Lattice parameters (Å, degrees): 3.463 3.463 15.352 90.00 90.00 120.00
Atoms (fractional coordinates):
1 Er 0.333 0.667 0.826
2 Er 0.333 0.667 0.174
3 Hf 0.667 0.333 0.338
4 Hf 0.667 0.333 0.662
5 C 0.000 0.000 0.267
6 C 0.000 0.000 0.733
7 Pb 0.667 0.333 0.000
8 Pb 0.333 0.667 0.500

Summary:
* calculated density: 11.77 g/cm3

Entry x
## ErHfPbC (PBE-GGA)

Data for a relaxed structure of ErHfPbC.

Lattice parameters (Å, degrees): 3.474 3.474 15.350 90.00 90.00 120.00
Atoms (fractional coordinates):
1 Pb 0.333 0.667 0.738
2 Er 0.667 0.333 0.914
3 Pb 0.667 0.333 0.262
4 C 0.000 0.000 0.000
5 Hf 0.667 0.333 0.577
6 Hf 0.333 0.667 0.423
7 Er 0.333 0.667 0.086
8 C 0.000 0.000 0.500

Summary:
* calculated density: 11.69 g/cm3

Entry y
## ErHfPbC (PBE-GGA)

Data for a relaxed structure of ErHfPbC.

Lattice parameters (Å, degrees): 3.461 3.461 15.360 90.00 90.00 120.00
Atoms (fractional coordinates):
1 C 0.000 0.000 0.491
2 Er 0.667 0.333 0.583
3 Hf 0.667 0.333 0.919
4 Hf 0.333 0.667 0.419
5 C 0.000 0.000 0.991
6 Pb 0.667 0.333 0.257
7 Er 0.333 0.667 0.083
8 Pb 0.333 0.667 0.757

Summary:
* calculated density: 11.78 g/cm3

Most stable to least stable, the ends of the list are entry y and entry x.